Compound: Sc2HPdO
Source: Alexandria
Functional: GGA-PBE
Structure: relaxed

## Properties
- electronic total energy (eV/cell) = -27.57
- crystal system = tetragonal
- SG = P4/mmm, No. 123
- DOS(E_F) (states/eV/cell) = 3.00

Cell lengths 4.985, 3.287, 4.985 Å; angles 90.00, 90.00, 90.00 degrees
Element x y z (fractional)
H: 0.000 0.500 0.000
O: 0.500 0.500 0.500
Sc: 0.500 0.000 0.000
Sc: 0.000 0.000 0.500
Pd: 0.000 0.000 0.000

Compound: ScSnPt
Source: Alexandria
Functional: GGA-PBE
Structure: relaxed

## Properties
- electronic total energy (eV/cell) = -18.39
- crystal system = tetragonal
- SG = I4mm, No. 107
- DOS(E_F) (states/eV/cell) = 3.39

Cell lengths 3.661, 3.661, 5.177 Å; angles 110.70, 110.70, 90.00 degrees
Element x y z (fractional)
Pt: 0.961 0.961 0.923
Sc: 0.603 0.603 0.206
Sn: 0.286 0.286 0.571

Compound: BaZn2Ge2
Source: Alexandria
Functional: GGA-PBE
Structure: relaxed

## Properties
- electronic total energy (eV/cell) = -27.72
- crystal system = tetragonal
- SG = P4/mbm, No. 127
- DOS(E_F) (states/eV/cell) = 5.43

Cell lengths 8.252, 8.252, 3.263 Å; angles 90.00, 90.00, 90.00 degrees
Element x y z (fractional)
Ge: 0.342 0.158 0.500
Ge: 0.658 0.842 0.500
Ge: 0.842 0.342 0.500
Ge: 0.158 0.658 0.500
Zn: 0.882 0.618 0.000
Zn: 0.618 0.118 0.000
Zn: 0.382 0.882 0.000
Zn: 0.118 0.382 0.000
Ba: 0.000 0.000 0.000
Ba: 0.500 0.500 0.000

Compound: LaSmPd2
Source: Alexandria
Functional: GGA-PBE
Structure: relaxed

## Properties
- electronic total energy (eV/cell) = -22.95
- crystal system = trigonal
- SG = R-3m, No. 166
- DOS(E_F) (states/eV/cell) = 2.37
- energy relative to the lowest polymorph listed for this composition (eV/f.u.) = 0.43

Cell lengths 4.210, 4.210, 7.318 Å; angles 73.28, 73.28, 60.00 degrees
Element x y z (fractional)
Pd: 0.248 0.248 0.256
Pd: 0.752 0.752 0.744
La: 0.000 0.000 0.000
Sm: 0.500 0.500 0.500

Compound: ScInH
Source: Alexandria
Functional: GGA-PBE
Structure: relaxed

## Properties
- electronic total energy (eV/cell) = -27.56
- crystal system = monoclinic
- SG = C2/m, No. 12
- DOS(E_F) (states/eV/cell) = 2.27
- energy relative to the lowest polymorph listed for this composition (eV/f.u.) = 0.00

Cell lengths 3.468, 5.803, 6.333 Å; angles 75.89, 74.04, 53.33 degrees
Element x y z (fractional)
In: 0.982 0.913 0.305
In: 0.378 0.376 0.591
Sc: 0.302 0.858 0.777
Sc: 0.058 0.431 0.120
H: 0.795 0.793 0.920
H: 0.564 0.496 0.976

Compound: Na3Tl3Sb2
Source: Alexandria
Functional: GGA-PBE
Structure: relaxed

## Properties
- formation energy (no corrections) (eV/atom) = -0.20
- electronic total energy (eV/cell) = -41.83
- crystal system = orthorhombic
- SG = Cmcm, No. 63
- DOS(E_F) (states/eV/cell) = 3.33

Cell lengths 4.822, 6.244, 18.181 Å; angles 90.00, 90.00, 112.71 degrees
Element x y z (fractional)
Tl: 0.366 0.732 0.969
Tl: 0.407 0.814 0.250
Tl: 0.634 0.268 0.469
Tl: 0.634 0.268 0.031
Tl: 0.366 0.732 0.531
Tl: 0.593 0.186 0.750
Na: 0.938 0.875 0.115
Na: 0.062 0.125 0.885
Na: 0.938 0.875 0.385
Na: 0.062 0.125 0.615
Na: 0.318 0.636 0.750
Na: 0.682 0.364 0.250
Sb: 0.228 0.455 0.375
Sb: 0.228 0.455 0.125
Sb: 0.772 0.545 0.875
Sb: 0.772 0.545 0.625

Compound: Sr2PaSe5
Source: Alexandria
Functional: GGA-PBE
Structure: relaxed

## Properties
- formation energy (no corrections) (eV/atom) = -1.48
- electronic total energy (eV/cell) = -84.16
- crystal system = orthorhombic
- SG = Cmcm, No. 63
- DOS(E_F) (states/eV/cell) = 5.78

Cell lengths 5.809, 8.109, 13.584 Å; angles 90.00, 90.00, 110.99 degrees
Element x y z (fractional)
Sr: 0.847 0.695 0.430
Sr: 0.847 0.695 0.070
Sr: 0.153 0.305 0.930
Sr: 0.153 0.305 0.570
Se: 0.959 0.917 0.864
Se: 0.713 0.426 0.250
Se: 0.041 0.083 0.364
Se: 0.959 0.917 0.636
Se: 0.700 0.400 0.590
Se: 0.300 0.600 0.410
Se: 0.300 0.600 0.090
Se: 0.700 0.400 0.910
Se: 0.287 0.574 0.750
Se: 0.041 0.083 0.136
Pa: 0.810 0.619 0.750
Pa: 0.190 0.381 0.250

Compound: MgSc2AuC
Source: Alexandria
Functional: GGA-PBE
Structure: relaxed

## Properties
- electronic total energy (eV/cell) = -29.18
- crystal system = tetragonal
- SG = P4/mmm, No. 123
- DOS(E_F) (states/eV/cell) = 2.45

Cell lengths 4.509, 4.509, 4.300 Å; angles 90.00, 90.00, 90.00 degrees
Element x y z (fractional)
Sc: 0.500 0.000 0.000
Sc: 0.000 0.500 0.000
Mg: 0.000 0.000 0.500
Au: 0.500 0.500 0.500
C: 0.000 0.000 0.000

Compound: ErPa2N3
Source: Alexandria
Functional: GGA-PBE
Structure: relaxed

## Properties
- formation energy (no corrections) (eV/atom) = -1.66
- electronic total energy (eV/cell) = -58.48
- crystal system = orthorhombic
- SG = Immm, No. 71
- DOS(E_F) (states/eV/cell) = 4.39

Cell lengths 3.468, 4.914, 6.029 Å; angles 114.05, 106.72, 90.00 degrees
Element x y z (fractional)
N: 0.833 0.333 0.166
N: 0.500 0.000 0.500
N: 0.167 0.667 0.834
Er: 0.500 0.500 0.500
Pa: 0.834 0.834 0.168
Pa: 0.166 0.166 0.832

Compound: Hf5CdIn4
Source: Alexandria
Functional: GGA-PBE
Structure: relaxed

## Properties
- electronic total energy (eV/cell) = -62.80
- crystal system = tetragonal
- SG = P4/mmm, No. 123
- DOS(E_F) (states/eV/cell) = 8.74

Cell lengths 3.118, 3.118, 22.144 Å; angles 90.00, 90.00, 90.00 degrees
Element x y z (fractional)
In: 0.000 0.000 0.199
In: 0.000 0.000 0.601
In: 0.000 0.000 0.399
In: 0.000 0.000 0.801
Hf: 0.500 0.500 0.901
Hf: 0.500 0.500 0.299
Hf: 0.500 0.500 0.500
Hf: 0.500 0.500 0.701
Hf: 0.500 0.500 0.099
Cd: 0.000 0.000 0.000

Compound: TlReN2
Source: Alexandria
Functional: GGA-PBE
Structure: relaxed

## Properties
- formation energy (no corrections) (eV/atom) = 0.41
- electronic total energy (eV/cell) = -29.83
- crystal system = trigonal
- SG = R-3m, No. 166
- DOS(E_F) (states/eV/cell) = 2.73
- energy relative to the lowest polymorph listed for this composition (eV/f.u.) = 0.94

Cell lengths 7.473, 7.473, 7.473 Å; angles 23.34, 23.34, 23.34 degrees
Element x y z (fractional)
N: 0.115 0.115 0.115
N: 0.885 0.885 0.885
Tl: 0.000 0.000 0.000
Re: 0.500 0.500 0.500

Compound: NaSr4Pt
Source: Alexandria
Functional: GGA-PBE
Structure: relaxed

## Properties
- electronic total energy (eV/cell) = -31.70
- crystal system = monoclinic
- SG = C2/c, No. 15
- DOS(E_F) (states/eV/cell) = 8.40
- energy relative to the lowest polymorph listed for this composition (eV/f.u.) = 0.18

Cell lengths 7.517, 9.433, 9.828 Å; angles 113.20, 105.93, 102.99 degrees
Element x y z (fractional)
Na: 0.353 0.603 0.206
Na: 0.647 0.397 0.794
Sr: 0.538 0.240 0.102
Sr: 0.194 0.357 0.412
Sr: 0.806 0.643 0.588
Sr: 0.064 0.861 0.102
Sr: 0.282 0.945 0.588
Sr: 0.462 0.760 0.898
Sr: 0.936 0.139 0.898
Sr: 0.718 0.055 0.412
Pt: 0.825 0.075 0.151
Pt: 0.175 0.925 0.849